No. 1
Below is a relaxed structure of LaReN3, with properties calculated at the PBE level.

POSCAR file:
```
LaReN3
1.0
-6.333 3.554 3.533
-0.847 -0.877 -3.606
-0.496 -6.222 -0.973
N La Re
6 2 2
direct
0.488 0.224 0.939
0.280 0.836 0.358
0.892 0.668 0.344
0.627 0.332 0.878
0.794 0.623 0.470
0.131 0.430 0.902
0.443 0.511 0.241
0.149 0.157 0.633
0.855 0.455 0.843
0.023 0.888 0.131
```

The value obtained for the magnetization is 0.0 μB per cell. The calculation puts the formation energy without anion corrections at -468 meV/atom. The crystal system is triclinic.

No. 2
Below is a relaxed structure of LaReN3, with properties calculated at the PBE level.

POSCAR file:
```
LaReN3
1.0
3.483 0.000 0.000
0.000 3.483 0.000
1.741 1.741 11.447
N La Re
6 2 2
direct
0.323 0.323 0.354
0.210 0.899 0.202
0.677 0.677 0.646
0.101 0.413 0.798
0.101 0.790 0.798
0.587 0.899 0.202
0.000 0.000 0.000
0.250 0.750 0.500
0.631 0.131 0.739
0.869 0.369 0.261
```

The value obtained for the magnetization is 0.6 μB per cell. The calculation puts the formation energy without anion corrections at -14 meV/atom. The crystal system is tetragonal.

No. 3
Below is a relaxed structure of LaReN3, with properties calculated at the PBE level.

POSCAR file:
```
LaReN3
1.0
-0.528 1.631 -3.868
-4.148 -0.800 0.229
-0.643 3.821 1.699
La N Re
1 3 1
direct
0.000 0.000 0.000
0.500 0.000 0.000
0.000 0.000 0.500
0.000 0.500 0.000
0.500 0.500 0.500
```

The value obtained for the magnetization is 0.0 μB per cell. The calculation puts the formation energy without anion corrections at 2467 meV/atom. The crystal system is cubic.